Record 1
Pm4PrTh2 | PBE | optimized geometry

Output
- energy (eV per atom) = -5.46
- SG = P1 (1)
- formation energy (eV per atom) = 0.06

a b c (Å): 6.2869 9.6300 6.3092
angles (deg): 139.82 80.47 90.00
Element x y z (fractional)
Pm 0.2156 0.7853 0.1414
Pm 0.0692 0.3540 0.9935
Pm 0.5113 0.6360 0.4142
Pm 0.3597 0.2181 0.2919
Th 0.7801 0.5031 0.7278
Th 0.6471 0.0691 0.5610
Pr 0.9170 0.9343 0.8702

Record 2
KPmPu2O8 | PBE | optimized geometry

Output
- energy (eV per atom) = -8.65
- SG = I-4m2 (119)
- formation energy (no corrections) (kJ/mol of atoms) = -238

a b c (Å): 5.5279 5.5279 6.5256
angles (deg): 115.06 115.06 90.00
Last column: magnetic moment on the atom in μB.
Element x y z (fractional)
O 0.5919 0.6392 0.7560  -0.20
O 0.3607 0.4079 0.2437  -0.20
O 0.1642 0.6393 0.7563  -0.20
O 0.8831 0.8358 0.2437  -0.20
O 0.3608 0.8359 0.2440  -0.20
O 0.8832 0.4081 0.2440  -0.20
O 0.5921 0.1169 0.7563  -0.20
O 0.1641 0.1168 0.7560  -0.20
Pu 0.5000 0.5000 0.0000  3.13
Pu 0.2500 0.7500 0.5000  2.73
Pm 0.0000 0.0000 0.0000  -0.01
K 0.7500 0.2500 0.5000  -0.01

Record 3
PrEr3Cu2 | PBE | optimized geometry

Output
- energy (eV per atom) = -4.61
- SG = P4/mmm (123)
- formation energy (eV per atom) = -0.17

a b c (Å): 3.4717 3.4717 12.2268
angles (deg): 90.00 90.00 90.00
Element x y z (fractional)
Cu 0.5000 0.5000 0.8591
Cu 0.5000 0.5000 0.1409
Pr 0.5000 0.5000 0.5000
Er 0.0000 0.0000 0.2758
Er 0.0000 0.0000 0.0000
Er 0.0000 0.0000 0.7242

Record 4
Dy3YAg | PBE | optimized geometry

Output
- energy (eV per atom) = -4.63
- SG = C2/m (12)
- formation energy (eV per atom) = -0.01

a b c (Å): 6.6960 6.6960 8.5621
angles (deg): 88.74 120.74 112.00
Element x y z (fractional)
Dy 0.1812 0.5601 0.7413
Dy 0.2383 0.4140 0.1508
Dy 0.8188 0.4399 0.2587
Dy 0.7368 0.9125 0.1508
Dy 0.2632 0.0875 0.8492
Dy 0.7617 0.5860 0.8492
Ag 0.7508 0.7494 0.5003
Ag 0.2492 0.2506 0.4997
Y 0.3172 0.9408 0.2581
Y 0.6828 0.0592 0.7419

Record 5
Ca2TaRe | PBE | optimized geometry

Output
- energy (eV per atom) = -6.31
- SG = Cmmm (65)
- energy above the most stable polymorph in this dataset (meV/atom) = 523
- formation energy (eV per atom) = 0.76

a b c (Å): 5.9293 5.9293 2.8436
angles (deg): 90.00 90.00 123.03
Element x y z (fractional)
Ca 0.5000 0.5000 0.0000
Ca 0.0000 0.0000 0.0000
Re 0.5000 0.0000 0.5000
Ta 0.0000 0.5000 0.5000

Record 6
ScCuAg2 | PBE | optimized geometry

Output
- energy (eV per atom) = -4.16
- SG = P4mm (99)
- energy above the most stable polymorph in this dataset (meV/atom) = 19
- formation energy (eV per atom) = -0.13

a b c (Å): 3.3578 3.3631 6.2419
angles (deg): 90.00 90.00 90.00
Element x y z (fractional)
Ag 0.5000 0.5000 0.2684
Ag 0.0000 0.0000 0.0089
Cu 0.0000 0.0000 0.4911
Sc 0.5000 0.5000 0.7315

Record 7
CdInHg4 | PBE | optimized geometry

Output
- energy (eV per atom) = -0.79
- SG = P2_1/m (11)
- energy above the most stable polymorph in this dataset (meV/atom) = 0
- formation energy (eV per atom) = 0.02

a b c (Å): 7.6563 6.9012 6.2179
angles (deg): 90.00 82.68 90.00
Element x y z (fractional)
Hg 0.5108 0.2500 0.0048
Hg 0.0000 0.0000 0.0000
Hg 0.3310 0.0123 0.6613
Hg 0.6690 0.9877 0.3387
Hg 0.3310 0.4877 0.6613
Hg 0.0000 0.5000 0.0000
Hg 0.6690 0.5123 0.3387
Hg 0.4892 0.7500 0.9952
In 0.8364 0.2500 0.6611
In 0.1636 0.7500 0.3389
Cd 0.8291 0.7500 0.6848
Cd 0.1709 0.2500 0.3152

Record 8
VHSeBr2 | PBE | optimized geometry

Output
- energy (eV per atom) = -3.13
- SG = P4/mmm (123)
- energy above the most stable polymorph in this dataset (meV/atom) = 584

a b c (Å): 5.1543 5.1543 3.4839
angles (deg): 90.00 90.00 90.00
Last column: magnetic moment on the atom in μB.
Element x y z (fractional)
Se 0.0000 0.0000 0.5000  0.09
V 0.5000 0.5000 0.5000  -0.26
Br 0.0000 0.5000 0.0000  0.06
Br 0.5000 0.0000 0.0000  0.06
H 0.0000 0.0000 0.0000  -0.01

Record 9
PaHgTeO5 | PBE | optimized geometry

Output
- energy (eV per atom) = -6.53
- SG = C2/c (15)
- formation energy (no corrections) (kJ/mol of atoms) = -175

a b c (Å): 6.0612 6.0612 8.3841
angles (deg): 102.11 102.11 99.62
Element x y z (fractional)
Pa 0.0000 0.0000 0.5000
Pa 0.0000 0.0000 0.0000
O 0.0667 0.9333 0.2500
O 0.3499 0.1615 0.0632
O 0.3212 0.8757 0.6269
O 0.6501 0.8385 0.9368
O 0.8757 0.3212 0.1269
O 0.6788 0.1243 0.3731
O 0.8385 0.6501 0.4368
O 0.1615 0.3499 0.5632
O 0.1243 0.6788 0.8731
O 0.9333 0.0667 0.7500
Te 0.3567 0.6433 0.7500
Te 0.6433 0.3567 0.2500
Hg 0.6762 0.3238 0.7500
Hg 0.3238 0.6762 0.2500

Record 10
Pm4TmMg | PBE | optimized geometry

Output
- energy (eV per atom) = -3.66
- SG = Pm (6)
- formation energy (eV per atom) = 0.52

a b c (Å): 5.4698 5.4696 7.4327
angles (deg): 89.84 89.96 90.00
Element x y z (fractional)
Pm 0.0013 0.4965 0.7440
Pm 0.5015 0.9971 0.2524
Pm 0.5012 0.9980 0.7440
Pm 0.0011 0.4978 0.2524
Mg 0.0016 0.9967 0.4976
Tm 0.5011 0.4977 0.9985

Record 11
LaTb5Y2Tm | PBE | optimized geometry

Output
- energy (eV per atom) = -4.89
- SG = Cmc2_1 (36)
- formation energy (eV per atom) = 0.16

a b c (Å): 5.6552 10.3138 10.5706
angles (deg): 90.00 90.00 105.91
Element x y z (fractional)
Tb 0.7180 0.4359 0.8139
Tb 0.2969 0.5938 0.7078
Tb 0.9813 0.9626 0.5245
Tb 0.2820 0.5641 0.3139
Tb 0.3856 0.7712 0.0223
Tb 0.4805 0.9609 0.7386
Tb 0.5195 0.0391 0.2386
Tb 0.6144 0.2288 0.5223
Tb 0.0187 0.0374 0.0245
Tb 0.7031 0.4062 0.2078
La 0.5821 0.1643 0.9539
La 0.4179 0.8357 0.4539
Tm 0.2010 0.4021 0.0115
Tm 0.7990 0.5979 0.5115
Y 0.1118 0.2235 0.7324
Y 0.8882 0.7765 0.2324
Y 0.8861 0.7722 0.8191
Y 0.1139 0.2278 0.3191

Record 12
CaAcNiPb | PBE | optimized geometry

Output
- energy (eV per atom) = -4.10
- SG = F-43m (216)
- formation energy (eV per atom) = -0.20

a b c (Å): 5.4617 5.4617 5.4617
angles (deg): 60.00 60.00 60.00
Last column: magnetic moment on the atom in μB.
Element x y z (fractional)
Ca 0.0000 0.0000 0.0000  0.00
Ni 0.2500 0.2500 0.2500  0.32
Pb 0.7500 0.7500 0.7500  0.05
Ac 0.5000 0.5000 0.5000  0.00

no.,magnetic moment (μB per atom)
1,0.000
2,0.333
3,0.000
4,0.000
5,0.000
6,0.000
7,0.000
8,0.014
9,0.000
10,0.000
11,0.000
12,0.100